No. 1
Here is an optimized crystal structure of Tl3Ag5Cl12 from Alexandria via LeMat-Bulk. Energies are from GGA-PBE.

Electronic total energy   -2.712 eV/atom
Formation energy from raw total energies   -1034 kJ/mol of formula units
Theoretical density   4.5 g/cm³

CIF file:
```
data_Tl3Ag5Cl12
_cell_length_a 14.482
_cell_length_b 14.482
_cell_length_c 14.482
_cell_angle_alpha 109.47
_cell_angle_beta 109.47
_cell_angle_gamma 109.47
_symmetry_space_group_name_H-M 'P 1'
_symmetry_Int_Tables_number 1
_symmetry_space_group_name_Hall 'P 1'
loop_
_atom_site_label
_atom_site_fract_x
_atom_site_fract_y
_atom_site_fract_z
Tl1 0.125 0.250 0.375
Tl2 0.125 0.375 0.750
Tl3 0.250 0.375 0.125
Tl4 0.250 0.875 0.625
Tl5 0.375 0.125 0.250
Tl6 0.375 0.750 0.125
Tl7 0.625 0.250 0.875
Tl8 0.625 0.875 0.750
Tl9 0.750 0.125 0.375
Tl10 0.750 0.625 0.875
Tl11 0.875 0.625 0.250
Tl12 0.875 0.750 0.625
Ag1 0.000 0.000 0.000
Ag2 0.000 0.000 0.500
Ag3 0.000 0.500 0.000
Ag4 0.000 0.500 0.500
Ag5 0.125 0.750 0.875
Ag6 0.125 0.875 0.250
Ag7 0.250 0.125 0.875
Ag8 0.250 0.625 0.375
Ag9 0.375 0.250 0.625
Ag10 0.375 0.625 0.750
Ag11 0.500 0.000 0.000
Ag12 0.500 0.000 0.500
Ag13 0.500 0.500 0.000
Ag14 0.500 0.500 0.500
Ag15 0.625 0.375 0.250
Ag16 0.625 0.750 0.375
Ag17 0.750 0.375 0.625
Ag18 0.750 0.875 0.125
Ag19 0.875 0.125 0.750
Ag20 0.875 0.250 0.125
Cl1 0.019 0.192 0.114
Cl2 0.019 0.326 0.904
Cl3 0.078 0.692 0.674
Cl4 0.078 0.886 0.404
Cl5 0.096 0.614 0.422
Cl6 0.096 0.981 0.674
Cl7 0.114 0.019 0.192
Cl8 0.114 0.596 0.922
Cl9 0.174 0.192 0.578
Cl10 0.174 0.481 0.596
Cl11 0.192 0.114 0.019
Cl12 0.192 0.578 0.174
Cl13 0.308 0.326 0.922
Cl14 0.308 0.481 0.386
Cl15 0.326 0.904 0.019
Cl16 0.326 0.922 0.308
Cl17 0.386 0.308 0.481
Cl18 0.386 0.578 0.904
Cl19 0.404 0.078 0.886
Cl20 0.404 0.826 0.519
Cl21 0.422 0.096 0.614
Cl22 0.422 0.826 0.808
Cl23 0.481 0.386 0.308
Cl24 0.481 0.596 0.174
Cl25 0.519 0.404 0.826
Cl26 0.519 0.614 0.692
Cl27 0.578 0.174 0.192
Cl28 0.578 0.904 0.386
Cl29 0.596 0.174 0.481
Cl30 0.596 0.922 0.114
Cl31 0.614 0.422 0.096
Cl32 0.614 0.692 0.519
Cl33 0.674 0.078 0.692
Cl34 0.674 0.096 0.981
Cl35 0.692 0.519 0.614
Cl36 0.692 0.674 0.078
Cl37 0.808 0.422 0.826
Cl38 0.808 0.886 0.981
Cl39 0.826 0.519 0.404
Cl40 0.826 0.808 0.422
Cl41 0.886 0.404 0.078
Cl42 0.886 0.981 0.808
Cl43 0.904 0.019 0.326
Cl44 0.904 0.386 0.578
Cl45 0.922 0.114 0.596
Cl46 0.922 0.308 0.326
Cl47 0.981 0.674 0.096
Cl48 0.981 0.808 0.886
```


No. 2
Here is an optimized crystal structure of FeSbPd from Alexandria via LeMat-Bulk. Energies are from GGA-PBE.

Electronic total energy   -6.024 eV/atom
Formation energy from raw total energies   -28 kJ/mol of formula units
Theoretical density   9.0 g/cm³

CIF file:
```
data_FeSbPd
_cell_length_a 4.833
_cell_length_b 4.833
_cell_length_c 6.419
_cell_angle_alpha 98.46
_cell_angle_beta 98.46
_cell_angle_gamma 44.82
_symmetry_space_group_name_H-M 'P 1'
_symmetry_Int_Tables_number 1
_symmetry_space_group_name_Hall 'P 1'
loop_
_atom_site_label
_atom_site_fract_x
_atom_site_fract_y
_atom_site_fract_z
Fe1 0.000 0.000 0.000
Fe2 0.672 0.672 0.091
Sb1 0.277 0.277 0.864
Sb2 0.914 0.914 0.371
Pd1 0.207 0.207 0.434
Pd2 0.529 0.529 0.675
```


No. 3
Here is an optimized crystal structure of SrBr from Alexandria via LeMat-Bulk. Energies are from GGA-PBE.

Electronic total energy   -3.149 eV/atom
Formation energy from raw total energies   -284 kJ/mol of formula units
Theoretical density   3.0 g/cm³

CIF file:
```
data_SrBr
_cell_length_a 4.496
_cell_length_b 4.497
_cell_length_c 10.445
_cell_angle_alpha 89.74
_cell_angle_beta 89.83
_cell_angle_gamma 60.04
_symmetry_space_group_name_H-M 'P 1'
_symmetry_Int_Tables_number 1
_symmetry_space_group_name_Hall 'P 1'
loop_
_atom_site_label
_atom_site_fract_x
_atom_site_fract_y
_atom_site_fract_z
Sr1 0.000 0.000 0.000
Sr2 0.334 0.339 0.661
Br1 0.001 0.007 0.504
Br2 0.666 0.665 0.158
```


No. 4
Here is an optimized crystal structure of Rb3SrCa2F9 from Alexandria via LeMat-Bulk. Energies are from GGA-PBE.

Electronic total energy   -5.136 eV/atom
Formation energy from raw total energies   -4980 kJ/mol of formula units
Theoretical density   3.4 g/cm³

CIF file:
```
data_Rb3SrCa2F9
_cell_length_a 6.500
_cell_length_b 6.500
_cell_length_c 7.995
_cell_angle_alpha 90.00
_cell_angle_beta 90.00
_cell_angle_gamma 120.00
_symmetry_space_group_name_H-M 'P 1'
_symmetry_Int_Tables_number 1
_symmetry_space_group_name_Hall 'P 1'
loop_
_atom_site_label
_atom_site_fract_x
_atom_site_fract_y
_atom_site_fract_z
Rb1 0.000 0.000 0.000
Rb2 0.333 0.667 0.675
Rb3 0.667 0.333 0.325
Sr1 0.000 0.000 0.500
Ca1 0.333 0.667 0.160
Ca2 0.667 0.333 0.840
F1 0.000 0.500 0.000
F2 0.171 0.342 0.324
F3 0.171 0.829 0.324
F4 0.342 0.171 0.676
F5 0.500 0.000 0.000
F6 0.500 0.500 0.000
F7 0.658 0.829 0.324
F8 0.829 0.171 0.676
F9 0.829 0.658 0.676
```


No. 5
Here is an optimized crystal structure of BaSiCl3 from Alexandria via LeMat-Bulk. Energies are from GGA-PBE.

Electronic total energy   -3.624 eV/atom
Formation energy from raw total energies   -505 kJ/mol of formula units
Relative energy among the computed polymorphs   0.0000 eV per atom
Theoretical density   3.2 g/cm³

CIF file:
```
data_BaSiCl3
_cell_length_a 5.219
_cell_length_b 5.219
_cell_length_c 5.219
_cell_angle_alpha 90.00
_cell_angle_beta 90.00
_cell_angle_gamma 90.00
_symmetry_space_group_name_H-M 'P 1'
_symmetry_Int_Tables_number 1
_symmetry_space_group_name_Hall 'P 1'
loop_
_atom_site_label
_atom_site_fract_x
_atom_site_fract_y
_atom_site_fract_z
Ba1 0.000 0.000 0.000
Si1 0.500 0.500 0.500
Cl1 0.000 0.500 0.500
Cl2 0.500 0.000 0.500
Cl3 0.500 0.500 0.000
```


No. 6
Here is an optimized crystal structure of Tb2Pm2Te5 from Alexandria via LeMat-Bulk. Energies are from GGA-PBE.

Electronic total energy   -5.163 eV/atom
Formation energy from raw total energies   -1158 kJ/mol of formula units
Relative energy among the computed polymorphs   0.0000 eV per atom
Theoretical density   7.6 g/cm³

CIF file:
```
data_Tb2Pm2Te5
_cell_length_a 8.984
_cell_length_b 8.984
_cell_length_c 8.257
_cell_angle_alpha 90.00
_cell_angle_beta 90.00
_cell_angle_gamma 54.69
_symmetry_space_group_name_H-M 'P 1'
_symmetry_Int_Tables_number 1
_symmetry_space_group_name_Hall 'P 1'
loop_
_atom_site_label
_atom_site_fract_x
_atom_site_fract_y
_atom_site_fract_z
Tb1 0.146 0.854 0.850
Tb2 0.354 0.646 0.350
Tb3 0.646 0.354 0.650
Tb4 0.854 0.146 0.150
Pm1 0.197 0.197 0.500
Pm2 0.303 0.303 0.000
Pm3 0.697 0.697 0.000
Pm4 0.803 0.803 0.500
Te1 0.000 0.000 0.500
Te2 0.021 0.703 0.156
Te3 0.203 0.521 0.656
Te4 0.297 0.979 0.156
Te5 0.479 0.797 0.656
Te6 0.500 0.500 0.000
Te7 0.521 0.203 0.344
Te8 0.703 0.021 0.844
Te9 0.797 0.479 0.344
Te10 0.979 0.297 0.844
```


No. 7
Here is an optimized crystal structure of Ac7Ir2Pt2 from Alexandria via LeMat-Bulk. Energies are from GGA-PBE.

Electronic total energy   -5.861 eV/atom
Theoretical density   9.0 g/cm³
Energy relative to the elements   -51.83 kJ/mol of atoms

CIF file:
```
data_Ac7Ir2Pt2
_cell_length_a 7.613
_cell_length_b 7.613
_cell_length_c 8.408
_cell_angle_alpha 92.80
_cell_angle_beta 92.80
_cell_angle_gamma 115.43
_symmetry_space_group_name_H-M 'P 1'
_symmetry_Int_Tables_number 1
_symmetry_space_group_name_Hall 'P 1'
loop_
_atom_site_label
_atom_site_fract_x
_atom_site_fract_y
_atom_site_fract_z
Ac1 0.000 0.000 0.000
Ac2 0.046 0.422 0.717
Ac3 0.368 0.368 0.304
Ac4 0.422 0.046 0.717
Ac5 0.578 0.954 0.283
Ac6 0.632 0.632 0.696
Ac7 0.954 0.578 0.283
Ir1 0.321 0.679 0.500
Ir2 0.679 0.321 0.500
Pt1 0.341 0.341 0.916
Pt2 0.659 0.659 0.084
```


No. 8
Here is an optimized crystal structure of PdF5 from Alexandria via LeMat-Bulk. Energies are from GGA-PBE.

Electronic total energy   -3.376 eV/atom
Formation energy from raw total energies   -551 kJ/mol of formula units
Theoretical density   3.9 g/cm³

CIF file:
```
data_PdF5
_cell_length_a 5.582
_cell_length_b 5.582
_cell_length_c 7.172
_cell_angle_alpha 108.45
_cell_angle_beta 108.45
_cell_angle_gamma 55.99
_symmetry_space_group_name_H-M 'P 1'
_symmetry_Int_Tables_number 1
_symmetry_space_group_name_Hall 'P 1'
loop_
_atom_site_label
_atom_site_fract_x
_atom_site_fract_y
_atom_site_fract_z
Pd1 0.000 0.000 0.000
Pd2 0.000 0.000 0.500
F1 0.048 0.326 0.637
F2 0.167 0.833 0.750
F3 0.214 0.610 0.051
F4 0.326 0.048 0.137
F5 0.390 0.786 0.449
F6 0.610 0.214 0.551
F7 0.674 0.952 0.863
F8 0.786 0.390 0.949
F9 0.833 0.167 0.250
F10 0.952 0.674 0.363
```